{
  "formula": "LaAlSnPd2",
  "functional": "PBE",
  "state": "optimized geometry",
  "magnetic_moment_mub_per_fu": 0.0,
  "total_energy_ev_per_cell": -54.54,
  "cell": [[4.5253, 0.0000, 0.0000], [0.0000, 4.5253, 0.0000], [0.0000, 0.0000, 10.4467]],
  "species": ["La", "La", "Al", "Al", "Sn", "Sn", "Pd", "Pd", "Pd", "Pd"],
  "frac_coords": [[0.2500, 0.2500, 0.2480], [0.7500, 0.7500, 0.7520], [0.2500, 0.7500, 0.0000], [0.7500, 0.2500, 0.0000], [0.2500, 0.2500, 0.6383], [0.7500, 0.7500, 0.3617], [0.2500, 0.2500, 0.8899], [0.2500, 0.7500, 0.5000], [0.7500, 0.2500, 0.5000], [0.7500, 0.7500, 0.1101]]
}

---

{
  "formula": "PmB2Pt6",
  "functional": "PBE",
  "state": "optimized geometry",
  "magnetic_moment_mub_per_fu": 0.0,
  "total_energy_ev_per_cell": -60.57,
  "cell": [[5.6228, 0.0000, 0.0000], [-2.8114, 4.8695, 0.0000], [0.0000, 0.0000, 5.5555]],
  "species": ["Pm", "B", "B", "Pt", "Pt", "Pt", "Pt", "Pt", "Pt"],
  "frac_coords": [[0.0000, 0.0000, 0.0000], [0.3333, 0.6667, 0.5000], [0.6667, 0.3333, 0.5000], [0.0000, 0.5000, 0.2464], [0.0000, 0.5000, 0.7536], [0.5000, 0.0000, 0.2464], [0.5000, 0.0000, 0.7536], [0.5000, 0.5000, 0.2464], [0.5000, 0.5000, 0.7536]]
}

---

{
  "formula": "ZrBeZn2",
  "functional": "PBE",
  "state": "optimized geometry",
  "magnetic_moment_mub_per_fu": 0.0,
  "total_energy_ev_per_cell": -15.01,
  "cell": [[0.0000, 3.0939, 3.0939], [3.0939, 0.0000, 3.0939], [3.0939, 3.0939, 0.0000]],
  "species": ["Zr", "Be", "Zn", "Zn"],
  "frac_coords": [[0.0000, 0.0000, 0.0000], [0.7500, 0.7500, 0.7500], [0.2500, 0.2500, 0.2500], [0.5000, 0.5000, 0.5000]]
}

---

{
  "formula": "Pm2NbZn4",
  "functional": "PBE",
  "state": "optimized geometry",
  "magnetic_moment_mub_per_fu": 0.0,
  "formation_enthalpy_0k_mev_per_atom": 78,
  "cell": [[5.6085, 0.0000, 0.0000], [0.0000, 5.6085, 0.0000], [0.0000, 0.0000, 4.9357]],
  "species": ["Pm", "Pm", "Nb", "Zn", "Zn", "Zn", "Zn"],
  "frac_coords": [[0.0000, 0.5000, 0.0000], [0.5000, 0.0000, 0.0000], [0.0000, 0.0000, 0.0000], [0.2424, 0.2424, 0.4951], [0.2424, 0.7576, 0.5049], [0.7576, 0.2424, 0.5049], [0.7576, 0.7576, 0.4951]]
}

---

{
  "formula": "Ba2Zn3P2O2",
  "functional": "PBE",
  "state": "optimized geometry",
  "total_energy_ev_per_cell": -39.67,
  "cell": [[-2.0712, 2.0712, 9.7956], [2.0712, -2.0712, 9.7956], [2.0712, 2.0712, -9.7956]],
  "species": ["Ba", "Ba", "Zn", "Zn", "Zn", "P", "P", "O", "O"],
  "frac_coords": [[0.0919, 0.0919, 0.0000], [0.9081, 0.9081, 0.0000], [0.2500, 0.7500, 0.5000], [0.5000, 0.5000, 0.0000], [0.7500, 0.2500, 0.5000], [0.3218, 0.3218, 0.0000], [0.6782, 0.6782, 0.0000], [0.0000, 0.5000, 0.5000], [0.5000, 0.0000, 0.5000]]
}

---

{
  "formula": "ZrHgPd",
  "functional": "PBE",
  "state": "optimized geometry",
  "magnetic_moment_mub_per_fu": 0.0,
  "formation_enthalpy_0k_mev_per_atom": 23,
  "cell": [[0.0000, 3.2685, 3.2685], [3.2685, 0.0000, 3.2685], [3.2685, 3.2685, 0.0000]],
  "species": ["Zr", "Hg", "Pd"],
  "frac_coords": [[0.0000, 0.0000, 0.0000], [0.7500, 0.7500, 0.7500], [0.2500, 0.2500, 0.2500]]
}

---

{
  "formula": "NdZnInTe3",
  "functional": "PBE",
  "state": "optimized geometry",
  "magnetic_moment_mub_per_fu": 0.0,
  "total_energy_ev_per_cell": -89.84,
  "cell": [[9.0718, 0.0000, 0.0000], [0.0000, 4.6387, 0.0000], [0.0000, 0.0000, 17.9834]],
  "species": ["Nd", "Nd", "Nd", "Nd", "Zn", "Zn", "Zn", "Zn", "In", "In", "In", "In", "Te", "Te", "Te", "Te", "Te", "Te", "Te", "Te", "Te", "Te", "Te", "Te"],
  "frac_coords": [[0.2437, 0.2500, 0.0460], [0.2563, 0.7500, 0.5460], [0.7437, 0.2500, 0.4540], [0.7563, 0.7500, 0.9540], [0.1335, 0.2500, 0.3580], [0.3665, 0.7500, 0.8580], [0.6335, 0.2500, 0.1420], [0.8665, 0.7500, 0.6420], [0.0718, 0.2500, 0.7808], [0.4282, 0.7500, 0.2808], [0.5718, 0.2500, 0.7192], [0.9282, 0.7500, 0.2192], [0.0010, 0.2500, 0.5914], [0.1228, 0.7500, 0.9421], [0.1938, 0.2500, 0.2153], [0.3062, 0.7500, 0.7153], [0.3772, 0.2500, 0.4421], [0.4990, 0.7500, 0.0914], [0.5010, 0.2500, 0.9086], [0.6228, 0.7500, 0.5579], [0.6938, 0.2500, 0.2847], [0.8062, 0.7500, 0.7847], [0.8772, 0.2500, 0.0579], [0.9990, 0.7500, 0.4086]]
}

---

{
  "formula": "Sc2In3W4C3",
  "functional": "PBE",
  "state": "optimized geometry",
  "magnetic_moment_mub_per_fu": 0.0,
  "total_energy_ev_per_cell": -205.03,
  "cell": [[4.7754, -2.7745, 0.0000], [4.7754, 2.7745, 0.0000], [-3.2764, 0.0000, 14.1470]],
  "species": ["Sc", "Sc", "Sc", "Sc", "In", "In", "In", "In", "In", "In", "W", "W", "W", "W", "W", "W", "W", "W", "C", "C", "C", "C", "C", "C"],
  "frac_coords": [[0.0330, 0.8723, 0.5944], [0.1277, 0.9670, 0.9056], [0.8723, 0.0330, 0.0944], [0.9670, 0.1277, 0.4056], [0.0843, 0.2854, 0.7523], [0.2854, 0.0843, 0.2523], [0.4508, 0.5492, 0.7500], [0.5492, 0.4508, 0.2500], [0.7146, 0.9157, 0.7477], [0.9157, 0.7146, 0.2477], [0.1928, 0.3497, 0.0750], [0.2991, 0.4831, 0.4249], [0.3497, 0.1928, 0.5750], [0.4831, 0.2991, 0.9249], [0.5169, 0.7009, 0.0751], [0.6503, 0.8072, 0.4250], [0.7009, 0.5169, 0.5751], [0.8072, 0.6503, 0.9250], [0.0000, 0.5000, 0.5000], [0.1690, 0.6612, 0.0001], [0.3388, 0.8310, 0.4999], [0.5000, 0.0000, 0.0000], [0.6612, 0.1690, 0.5001], [0.8310, 0.3388, 0.9999]]
}

---

{
  "formula": "Pa3B2C4",
  "functional": "PBE",
  "state": "optimized geometry",
  "magnetic_moment_mub_per_fu": 0.0,
  "total_energy_ev_per_cell": -83.57,
  "cell": [[-1.7279, 3.1109, 5.3726], [1.7279, -3.1109, 5.3726], [1.7279, 3.1109, -5.3726]],
  "species": ["Pa", "Pa", "Pa", "B", "B", "C", "C", "C", "C"],
  "frac_coords": [[0.0000, 0.0000, 0.0000], [0.3068, 0.8068, 0.5000], [0.6932, 0.1932, 0.5000], [0.3551, 0.5000, 0.8551], [0.6449, 0.5000, 0.1449], [0.1048, 0.3731, 0.7317], [0.3586, 0.6269, 0.7317], [0.6414, 0.3731, 0.2683], [0.8952, 0.6269, 0.2683]]
}

---

{
  "formula": "CsLiNpSe3",
  "functional": "PBE",
  "state": "optimized geometry",
  "magnetic_moment_mub_per_fu": 3.0,
  "total_energy_ev_per_cell": -67.36,
  "cell": [[2.1277, -7.8186, 0.0000], [2.1277, 7.8186, 0.0000], [0.0000, 0.0000, 10.9282]],
  "species": ["Cs", "Cs", "Li", "Li", "Np", "Np", "Se", "Se", "Se", "Se", "Se", "Se"],
  "frac_coords": [[0.2391, 0.7609, 0.7500], [0.7609, 0.2391, 0.2500], [0.0400, 0.9600, 0.2500], [0.9600, 0.0400, 0.7500], [0.5000, 0.5000, 0.0000], [0.5000, 0.5000, 0.5000], [0.1162, 0.8838, 0.0459], [0.1162, 0.8838, 0.4541], [0.4525, 0.5475, 0.2500], [0.5475, 0.4525, 0.7500], [0.8838, 0.1162, 0.5459], [0.8838, 0.1162, 0.9541]]
}

---

{
  "formula": "SmPt2",
  "functional": "PBE",
  "state": "optimized geometry",
  "magnetic_moment_mub_per_fu": 0.0,
  "formation_enthalpy_0k_mev_per_atom": -1074,
  "cell": [[0.0000, 3.8667, 3.8667], [3.8667, 0.0000, 3.8667], [3.8667, 3.8667, 0.0000]],
  "species": ["Sm", "Sm", "Pt", "Pt", "Pt", "Pt"],
  "frac_coords": [[0.1250, 0.1250, 0.1250], [0.8750, 0.8750, 0.8750], [0.0000, 0.5000, 0.5000], [0.5000, 0.0000, 0.5000], [0.5000, 0.5000, 0.0000], [0.5000, 0.5000, 0.5000]]
}

---

{
  "formula": "SrMgReTc",
  "functional": "PBE",
  "state": "optimized geometry",
  "magnetic_moment_mub_per_fu": 3.6,
  "total_energy_ev_per_cell": -20.77,
  "cell": [[0.0000, 3.4185, 3.4185], [3.4185, 0.0000, 3.4185], [3.4185, 3.4185, 0.0000]],
  "species": ["Sr", "Mg", "Re", "Tc"],
  "frac_coords": [[0.0000, 0.0000, 0.0000], [0.5000, 0.5000, 0.5000], [0.2500, 0.2500, 0.2500], [0.7500, 0.7500, 0.7500]]
}